Record 1
# USeI2, optimized geometry, DFT GGA-PBE
# formation energy without anion corrections: -0.827 eV per atom
# symmetry: Cm
# excess energy over the best structure of this formula in the dataset: 0.00 kJ/mol of atoms
# D(E_F): 1.373 states/eV per atom
# total magnetization: 2.00 μB per cell
data_USeI2
_chemical_formula_sum 'U1 Se1 I2'
_space_group_name_H-M_alt 'P 1'
_space_group_IT_number 1
_space_group_name_Hall 'P 1'
_cell_length_a 3.974
_cell_length_b 5.294
_cell_length_c 8.797
_cell_angle_alpha 107.31
_cell_angle_beta 90.00
_cell_angle_gamma 112.04
loop_
_atom_site_label
_atom_site_type_symbol
_atom_site_fract_x
_atom_site_fract_y
_atom_site_fract_z
_atom_site_occupancy
Se1 Se 0.438 0.877 0.375 1
U1 U 0.727 0.454 0.375 1
I1 I 0.086 0.172 0.092 1
I2 I 0.249 0.497 0.658 1

Record 2
# SrIn3Hg2, optimized geometry, DFT GGA-PBE
# symmetry: C2/m
# D(E_F): 0.383 states/eV per atom
# DFT formation energy: -1.61 eV/f.u.
# total magnetization: 0.00 μB per cell
data_SrIn3Hg2
_chemical_formula_sum 'Sr2 In6 Hg4'
_space_group_name_H-M_alt 'P 1'
_space_group_IT_number 1
_space_group_name_Hall 'P 1'
_cell_length_a 4.980
_cell_length_b 9.854
_cell_length_c 8.013
_cell_angle_alpha 117.47
_cell_angle_beta 90.00
_cell_angle_gamma 104.64
loop_
_atom_site_label
_atom_site_type_symbol
_atom_site_fract_x
_atom_site_fract_y
_atom_site_fract_z
_atom_site_occupancy
In1 In 0.067 0.135 0.449 1
In2 In 0.627 0.253 0.741 1
In3 In 0.933 0.865 0.551 1
In4 In 0.699 0.397 0.465 1
In5 In 0.373 0.747 0.259 1
In6 In 0.301 0.603 0.535 1
Sr1 Sr 0.880 0.759 0.941 1
Sr2 Sr 0.120 0.241 0.059 1
Hg1 Hg 0.240 0.480 0.829 1
Hg2 Hg 0.520 0.040 0.202 1
Hg3 Hg 0.760 0.520 0.171 1
Hg4 Hg 0.480 0.960 0.798 1

Record 3
# Li2HoSbS4, optimized geometry, DFT GGA-PBE
# formation energy without anion corrections: -1.252 eV per atom
# symmetry: P2/m
# D(E_F): 0.000 states/eV per atom
# total magnetization: 0.00 μB per cell
data_Li2HoSbS4
_chemical_formula_sum 'Li2 Ho1 Sb1 S4'
_space_group_name_H-M_alt 'P 1'
_space_group_IT_number 1
_space_group_name_Hall 'P 1'
_cell_length_a 3.897
_cell_length_b 6.592
_cell_length_c 6.795
_cell_angle_alpha 69.94
_cell_angle_beta 90.00
_cell_angle_gamma 90.00
loop_
_atom_site_label
_atom_site_type_symbol
_atom_site_fract_x
_atom_site_fract_y
_atom_site_fract_z
_atom_site_occupancy
Li1 Li 0.500 0.000 0.500 1
Li2 Li 0.000 0.000 0.000 1
S1 S 0.500 0.750 0.251 1
S2 S 0.000 0.246 0.255 1
S3 S 0.500 0.250 0.749 1
S4 S 0.000 0.754 0.745 1
Sb1 Sb 0.500 0.500 0.000 1
Ho1 Ho 0.000 0.500 0.500 1

Record 4
# Re5Ru, optimized geometry, DFT GGA-PBE
# symmetry: P2_1/m
# excess energy over the best structure of this formula in the dataset: 8.28 kJ/mol of atoms
# D(E_F): 0.888 states/eV per atom
# DFT formation energy: 0.29 eV/f.u.
# total magnetization: 0.00 μB per cell
data_Re5Ru
_chemical_formula_sum 'Re10 Ru2'
_space_group_name_H-M_alt 'P 1'
_space_group_IT_number 1
_space_group_name_Hall 'P 1'
_cell_length_a 6.766
_cell_length_b 5.540
_cell_length_c 8.264
_cell_angle_alpha 90.00
_cell_angle_beta 90.00
_cell_angle_gamma 144.92
loop_
_atom_site_label
_atom_site_type_symbol
_atom_site_fract_x
_atom_site_fract_y
_atom_site_fract_z
_atom_site_occupancy
Ru1 Ru 0.249 0.122 0.750 1
Ru2 Ru 0.751 0.878 0.250 1
Re1 Re 0.249 0.620 0.416 1
Re2 Re 0.249 0.620 0.084 1
Re3 Re 0.252 0.129 0.082 1
Re4 Re 0.748 0.871 0.918 1
Re5 Re 0.252 0.129 0.418 1
Re6 Re 0.748 0.871 0.582 1
Re7 Re 0.747 0.368 0.250 1
Re8 Re 0.253 0.632 0.750 1
Re9 Re 0.751 0.380 0.584 1
Re10 Re 0.751 0.380 0.916 1

Record 5
# La2PrSmEr2, optimized geometry, DFT GGA-PBE
# symmetry: Pmc2_1
# D(E_F): 1.477 states/eV per atom
# DFT formation energy: 0.42 eV/f.u.
# total magnetization: 0.00 μB per cell
data_La2PrSmEr2
_chemical_formula_sum 'La4 Pr2 Sm2 Er4'
_space_group_name_H-M_alt 'P 1'
_space_group_IT_number 1
_space_group_name_Hall 'P 1'
_cell_length_a 5.692
_cell_length_b 6.970
_cell_length_c 10.399
_cell_angle_alpha 90.00
_cell_angle_beta 90.00
_cell_angle_gamma 90.00
loop_
_atom_site_label
_atom_site_type_symbol
_atom_site_fract_x
_atom_site_fract_y
_atom_site_fract_z
_atom_site_occupancy
Sm1 Sm 0.000 0.954 0.473 1
Sm2 Sm 0.000 0.454 0.527 1
Er1 Er 0.500 0.202 0.373 1
Er2 Er 0.000 0.314 0.869 1
Er3 Er 0.500 0.702 0.627 1
Er4 Er 0.000 0.814 0.131 1
Pr1 Pr 0.500 0.694 0.307 1
Pr2 Pr 0.500 0.194 0.693 1
La1 La 0.000 0.825 0.801 1
La2 La 0.500 0.057 0.025 1
La3 La 0.000 0.325 0.199 1
La4 La 0.500 0.557 0.975 1

Record 6
# Cr2ReTe, optimized geometry, DFT GGA-PBE
# formation energy without anion corrections: 0.597 eV per atom
# symmetry: P4/mmm
# D(E_F): 1.417 states/eV per atom
# total magnetization: 4.55 μB per cell
data_Cr2ReTe
_chemical_formula_sum 'Cr2 Re1 Te1'
_space_group_name_H-M_alt 'P 1'
_space_group_IT_number 1
_space_group_name_Hall 'P 1'
_cell_length_a 3.804
_cell_length_b 4.020
_cell_length_c 4.020
_cell_angle_alpha 90.00
_cell_angle_beta 90.00
_cell_angle_gamma 90.00
loop_
_atom_site_label
_atom_site_type_symbol
_atom_site_fract_x
_atom_site_fract_y
_atom_site_fract_z
_atom_site_occupancy
Cr1 Cr 0.000 0.500 0.500 1
Cr2 Cr 0.000 0.000 0.000 1
Re1 Re 0.500 0.500 0.000 1
Te1 Te 0.500 0.000 0.500 1